The following is a DFT calculation (PBE) of a geometry-optimized LaNdHoEr3 structure.

Structure (CIF):
```
data_LaNdHoEr3
_cell_length_a 19.725
_cell_length_b 5.629
_cell_length_c 7.116
_cell_angle_alpha 90.00
_cell_angle_beta 90.44
_cell_angle_gamma 90.00
_symmetry_space_group_name_H-M 'C 1 2/m 1'
_symmetry_Int_Tables_number 12
loop_
_symmetry_equiv_pos_as_xyz
'x,y,z'
'-x,-y,-z'
'-x,y,-z'
'x,-y,z'
'x+1/2,y+1/2,z'
'-x+1/2,-y+1/2,-z'
'-x+1/2,y+1/2,-z'
'x+1/2,-y+1/2,z'
loop_
_atom_site_label
_atom_site_fract_x
_atom_site_fract_y
_atom_site_fract_z
_atom_site_occupancy
La1 0.146 0.000 0.035 1
Nd1 0.052 0.500 0.269 1
Ho1 0.151 0.000 0.460 1
Er1 0.024 0.000 0.735 1
Er2 0.165 0.500 0.731 1
Er3 0.221 0.500 0.243 1
```

---

The following is a DFT calculation (PBE) of a geometry-optimized LiWAu2 structure.

Structure (CIF):
```
data_LiWAu2
_cell_length_a 2.785
_cell_length_b 2.785
_cell_length_c 8.385
_cell_angle_alpha 90.00
_cell_angle_beta 90.00
_cell_angle_gamma 90.00
_symmetry_space_group_name_H-M 'P 4 m m'
_symmetry_Int_Tables_number 99
loop_
_symmetry_equiv_pos_as_xyz
'x,y,z'
'-y,x,z'
'-x,-y,z'
'y,-x,z'
'-x,y,z'
'y,x,z'
'x,-y,z'
'-y,-x,z'
loop_
_atom_site_label
_atom_site_fract_x
_atom_site_fract_y
_atom_site_fract_z
_atom_site_occupancy
Li1 0.000 0.000 0.000 1
W1 0.500 0.500 0.252 1
Au1 0.000 0.000 0.505 1
Au2 0.500 0.500 0.781 1
```

---

The following is a DFT calculation (PBE) of a geometry-optimized LaGa2AgPt5 structure.

Structure (CIF):
```
data_LaGa2AgPt5
_cell_length_a 4.141
_cell_length_b 4.141
_cell_length_c 9.700
_cell_angle_alpha 90.00
_cell_angle_beta 90.00
_cell_angle_gamma 90.00
_symmetry_space_group_name_H-M 'P 4/m m m'
_symmetry_Int_Tables_number 123
_symmetry_space_group_name_Hall '-P 4 2'
loop_
_atom_site_label
_atom_site_fract_x
_atom_site_fract_y
_atom_site_fract_z
_atom_site_occupancy
La1 0.000 0.000 0.000 1
Ga1 0.500 0.500 0.375 1
Ag1 0.000 0.000 0.500 1
Pt1 0.000 0.500 0.231 1
Pt2 0.500 0.500 0.000 1
```

---

The following is a DFT calculation (PBE) of a geometry-optimized CdP structure.

Structure (CIF):
```
data_CdP
_cell_length_a 3.2170
_cell_length_b 3.2170
_cell_length_c 10.0995
_cell_angle_alpha 90.00
_cell_angle_beta 90.00
_cell_angle_gamma 120.00
_symmetry_space_group_name_H-M 'P -3 m 1'
_symmetry_Int_Tables_number 164
_symmetry_space_group_name_Hall '-P 3 2"'
loop_
_atom_site_label
_atom_site_fract_x
_atom_site_fract_y
_atom_site_fract_z
_atom_site_occupancy
Cd1 0.3333 0.6667 0.1366 1
P1 0.3333 0.6667 0.5625 1
```

---

The following is a DFT calculation (PBE) of a geometry-optimized Nd3AlP2Rh9 structure.

Structure (CIF):
```
data_Nd3AlP2Rh9
_cell_length_a 6.4035
_cell_length_b 6.4035
_cell_length_c 7.7492
_cell_angle_alpha 90.00
_cell_angle_beta 90.00
_cell_angle_gamma 120.00
_symmetry_space_group_name_H-M 'P -3 m 1'
_symmetry_Int_Tables_number 164
_symmetry_space_group_name_Hall '-P 3 2"'
loop_
_atom_site_label
_atom_site_fract_x
_atom_site_fract_y
_atom_site_fract_z
_atom_site_occupancy
Nd1 0.0000 0.0000 0.0000 1
Nd2 0.3333 0.6667 0.6586 1
Al1 0.0000 0.0000 0.5000 1
P1 0.3333 0.6667 0.1614 1
Rh1 0.0000 0.5000 0.0000 1
Rh2 0.1710 0.3420 0.3252 1
```

---

The following is a DFT calculation (PBE) of a geometry-optimized LiGeP structure.

Structure (CIF):
```
data_LiGeP
_cell_length_a 5.520
_cell_length_b 3.600
_cell_length_c 6.232
_cell_angle_alpha 90.00
_cell_angle_beta 112.12
_cell_angle_gamma 90.00
_symmetry_space_group_name_H-M 'P 1 m 1'
_symmetry_Int_Tables_number 6
loop_
_symmetry_equiv_pos_as_xyz
'x,y,z'
'x,-y,z'
loop_
_atom_site_label
_atom_site_fract_x
_atom_site_fract_y
_atom_site_fract_z
_atom_site_occupancy
Li1 0.000 0.000 0.000 1
Li2 0.001 0.500 0.504 1
Ge1 0.420 0.000 0.810 1
Ge2 0.420 0.500 0.307 1
P1 0.659 0.500 0.721 1
P2 0.662 0.000 0.223 1
```

---

The following is a DFT calculation (PBE) of a geometry-optimized RbTbAg2 structure.

Structure (CIF):
```
data_RbTbAg2
_cell_length_a 3.816
_cell_length_b 3.816
_cell_length_c 8.488
_cell_angle_alpha 90.00
_cell_angle_beta 90.00
_cell_angle_gamma 90.00
_symmetry_space_group_name_H-M 'P 4/m m m'
_symmetry_Int_Tables_number 123
_symmetry_space_group_name_Hall '-P 4 2'
loop_
_atom_site_label
_atom_site_fract_x
_atom_site_fract_y
_atom_site_fract_z
_atom_site_occupancy
Rb1 0.000 0.000 0.000 1
Tb1 0.000 0.000 0.500 1
Ag1 0.500 0.500 0.324 1
```

---

The following is a DFT calculation (PBE) of a geometry-optimized ZrMoAs3 structure.

Structure (CIF):
```
data_ZrMoAs3
_cell_length_a 4.849
_cell_length_b 4.849
_cell_length_c 4.849
_cell_angle_alpha 90.00
_cell_angle_beta 90.00
_cell_angle_gamma 90.00
_symmetry_space_group_name_H-M 'P m -3 m'
_symmetry_Int_Tables_number 221
_symmetry_space_group_name_Hall '-P 4 2 3'
loop_
_atom_site_label
_atom_site_fract_x
_atom_site_fract_y
_atom_site_fract_z
_atom_site_occupancy
Zr1 0.000 0.000 0.000 1
Mo1 0.500 0.500 0.500 1
As1 0.000 0.500 0.500 1
```

---

Calculated DFT total energy, -4.465, -5.152, -5.450, -3.058, -6.971, -4.294, -2.909, -6.189 eV/atom (same order as the records).